This record from Alexandria via LeMat-Bulk describes an optimized crystal structure of Na2VGa. The functional is PBE.

Properties
* E_form: 257 kJ/mol of formula units
* magnetic moment: 3.92 μB/f.u.
* SG: No. 122
* V: 191.6 Å³/cell
* electronic total energy: -3.03 eV per atom

Cell: 8.380 8.380 6.524 Å, 50.04 50.04 90.00°
Site moments in Bohr magnetons follow the coordinates.
Sites, in units of the cell vectors:
Ga 0.750 0.250 0.500  0.04
Na 0.375 0.353 0.750  0.01
V 0.250 0.750 0.500  2.92
Na 0.875 0.897 0.750  0.01
Ga 0.000 0.000 0.000  0.04
Na 0.103 0.625 0.250  0.01
V 0.500 0.500 0.000  2.92
Na 0.647 0.125 0.250  0.01